A relaxed LaTa2As crystal. Source: Alexandria via LeMat-Bulk, functional GGA-PBE.

Cell: 3.494 3.494 7.037 Å, 90.00 90.00 90.00°
Sites, in units of the cell vectors:
1 La 0.000 0.000 0.000
2 Ta 0.500 0.500 0.318
3 Ta 0.500 0.500 0.682
4 As 0.000 0.000 0.500

Computed properties:
energy of formation from the pure elements	0.097	eV per atom
energy	-8.224	eV/atom

---

A relaxed LaTaAs crystal. Source: Alexandria via LeMat-Bulk, functional GGA-PBE.

Cell: 7.085 7.085 7.085 Å, 90.00 90.00 90.00°
Sites, in units of the cell vectors:
1 La 0.000 0.000 0.000
2 La 0.000 0.500 0.500
3 La 0.500 0.000 0.500
4 La 0.500 0.500 0.000
5 Ta 0.250 0.250 0.750
6 Ta 0.250 0.750 0.250
7 Ta 0.750 0.250 0.250
8 Ta 0.750 0.750 0.750
9 As 0.250 0.250 0.250
10 As 0.250 0.750 0.750
11 As 0.750 0.250 0.750
12 As 0.750 0.750 0.250

Computed properties:
energy of formation from the pure elements	0.995	eV per atom
polymorph energy (0 for the lowest one)	1746	meV per atom
energy	-6.149	eV/atom

---

A relaxed LaTaAs crystal. Source: Alexandria via LeMat-Bulk, functional GGA-PBE.

Cell: 6.683 6.683 6.683 Å, 90.00 90.00 90.00°
Sites, in units of the cell vectors:
1 La 0.000 0.000 0.000
2 La 0.000 0.500 0.500
3 La 0.500 0.000 0.500
4 La 0.500 0.500 0.000
5 Ta 0.000 0.000 0.500
6 Ta 0.000 0.500 0.000
7 Ta 0.500 0.000 0.000
8 Ta 0.500 0.500 0.500
9 As 0.250 0.250 0.750
10 As 0.250 0.750 0.250
11 As 0.750 0.250 0.250
12 As 0.750 0.750 0.750

Computed properties:
energy of formation from the pure elements	0.077	eV per atom
polymorph energy (0 for the lowest one)	829	meV per atom
energy	-7.066	eV/atom

---

A relaxed LaTa4As crystal. Source: Alexandria via LeMat-Bulk, functional GGA-PBE.

Cell: 5.687 5.687 5.687 Å, 60.00 60.00 60.00°
Sites, in units of the cell vectors:
1 La 0.000 0.000 0.000
2 Ta 0.117 0.628 0.628
3 Ta 0.628 0.117 0.628
4 Ta 0.628 0.628 0.117
5 Ta 0.628 0.628 0.628
6 As 0.250 0.250 0.250

Computed properties:
energy of formation from the pure elements	0.482	eV per atom
energy	-9.016	eV/atom